Record 1
Entry from Alexandria via LeMat-Bulk: a relaxed structure of Ac2Sn3PdAu4 (PBE).

a b c (Å): 4.768 4.768 10.937
angles (deg): 90.00 90.00 90.00
Element x y z (fractional)
Ac 0.500 0.000 0.255
Ac 0.000 0.500 0.745
Sn 0.000 0.000 0.500
Sn 0.500 0.000 0.870
Sn 0.000 0.500 0.130
Pd 0.500 0.500 0.500
Au 0.500 0.500 0.000
Au 0.000 0.000 0.000
Au 0.500 0.000 0.626
Au 0.000 0.500 0.374

Computed properties:
SG   P-4m2 (115)

Record 2
Entry from Alexandria via LeMat-Bulk: a relaxed structure of Sr2Ac2PdAu2 (PBE).

a b c (Å): 4.252 8.125 8.037
angles (deg): 66.54 90.00 74.67
Element x y z (fractional)
Sr 0.786 0.429 0.742
Sr 0.214 0.571 0.258
Ac 0.528 0.944 0.758
Ac 0.472 0.056 0.242
Pd 0.000 0.000 0.000
Au 0.888 0.224 0.450
Au 0.112 0.776 0.550

Computed properties:
SG   P-1 (2)

Record 3
Entry from Alexandria via LeMat-Bulk: a relaxed structure of SrAcPdAu (PBE).

a b c (Å): 5.404 5.404 5.404
angles (deg): 60.00 60.00 60.00
Element x y z (fractional)
Sr 0.250 0.250 0.250
Ac 0.750 0.750 0.750
Au 0.000 0.000 0.000
Pd 0.500 0.500 0.500

Computed properties:
Excess energy over the best structure of this formula in the dataset   83.2 meV/atom
SG   F-43m (216)

Record 4
Entry from Alexandria via LeMat-Bulk: a relaxed structure of SrAcPdAu (PBE).

a b c (Å): 4.238 4.670 6.266
angles (deg): 90.00 109.77 90.00
Element x y z (fractional)
Sr 0.139 0.000 0.279
Ac 0.866 0.500 0.732
Pd 0.414 0.000 0.828
Au 0.580 0.500 0.161

Computed properties:
Excess energy over the best structure of this formula in the dataset   0.0 meV/atom
SG   Amm2 (38)

For each record above, in turn, the calculated density of states at the Fermi level values are 5.01, 4.86, 3.44, 2.75 states/eV/f.u..
For each record above, in turn, the calculated total DFT energy (no corrections) values are -4.47, -4.00, -4.26, -4.34 eV per atom.
For each record above, in turn, the calculated ΔH_f (0 K) values are -617, -664, -692, -775 meV per atom.